VZnNiIr: optimized geometry, GGA-PBE.

a = 2.7736 Å, b = 2.7736 Å, c = 6.8746 Å
α = 90.00°, β = 90.00°, γ = 90.00°
Last column: nearest neighbours and their distance in Å.
Atoms (fractional coordinates):
Zn  0.0000  0.0000  0.0847  4 Ni 2.55, 4 Ir 2.71, 4 Zn 2.77
Ir  0.5000  0.5000  0.8117  4 V 2.59, 4 Zn 2.71, 4 Ir 2.77
Ni  0.5000  0.5000  0.3224  4 Zn 2.55, 4 V 2.58, 4 Ni 2.77
V  0.0000  0.0000  0.5658  4 Ni 2.58, 4 Ir 2.59, 4 V 2.77

N(E_F), states/eV per atom: 1.02
Energy relative to the elements, eV per atom: -0.29
Volume, Å³ per atom: 13.2
Symmetry: P4mm (99)